# CrCoAg2

Crystalline CrCoAg2 at its relaxed geometry (GGA-PBE, Alexandria via LeMat-Bulk).

## Properties
SG: No. 8
ΔE to the lowest computed polymorph: 195 meV per atom
total magnetization: 4.200 Bohr magnetons per cell
calculated volume: 15.24 Å³/atom

Cell and atoms, written as POSCAR:
```
CrCoAg2
1.0
4.624 -1.409 0.000
4.624 1.409 0.000
-1.242 0.000 4.677
Cr Co Ag
1 1 2
Cartesian
0.000 0.000 0.000
1.662 0.000 3.699
4.244 0.000 2.487
6.728 0.000 1.252
```

***

# CsSiH3

Crystalline CsSiH3 at its relaxed geometry (GGA-PBE, Alexandria via LeMat-Bulk).

## Properties
SG: No. 221
ΔE to the lowest computed polymorph: 408 meV per atom
total magnetization: 0.000 Bohr magnetons per cell
calculated volume: 13.80 Å³/atom

Cell and atoms, written as POSCAR:
```
CsSiH3
1.0
4.101 0.000 0.000
0.000 4.101 0.000
0.000 0.000 4.101
Cs Si H
1 1 3
Cartesian
0.000 0.000 0.000
2.051 2.051 2.051
0.000 2.051 2.051
2.051 0.000 2.051
2.051 2.051 0.000
```

***

# YZnGe2W

Crystalline YZnGe2W at its relaxed geometry (GGA-PBE, Alexandria via LeMat-Bulk).

## Properties
final energy: -24.28 eV/cell
SG: No. 123
total magnetization: 2.474 Bohr magnetons per cell
calculated volume: 22.58 Å³/atom

Cell and atoms, written as POSCAR:
```
YZnGe2W
1.0
4.646 0.000 0.000
0.000 4.646 0.000
0.000 0.000 5.229
Y Zn Ge W
1 1 2 1
Cartesian
0.000 0.000 0.000
0.000 0.000 2.615
0.000 2.323 2.615
2.323 0.000 2.615
2.323 2.323 0.000
```

***

# Zr2InPd3

Crystalline Zr2InPd3 at its relaxed geometry (GGA-PBE, Alexandria via LeMat-Bulk).

## Properties
final energy: -78.59 eV/cell
SG: No. 164
total magnetization: 0.000 Bohr magnetons per cell
calculated volume: 18.67 Å³/atom

Cell and atoms, written as POSCAR:
```
Zr2InPd3
1.0
4.721 0.000 0.000
-2.360 4.088 0.000
0.000 0.000 11.605
Zr In Pd
4 2 6
Cartesian
0.000 0.000 0.000
0.000 0.000 5.802
0.000 2.726 2.096
2.360 1.363 9.509
0.000 2.726 7.769
2.360 1.363 3.836
0.000 0.000 2.791
0.000 0.000 8.814
0.000 2.726 4.963
0.000 2.726 10.888
2.360 1.363 0.717
2.360 1.363 6.642
```